# NaZnHg4 (PBE, relaxed)
# Energy of formation from the pure elements: 0.055 eV per atom
# Space group: F-43m
# Energy relative to the lowest polymorph listed for this composition: 131 meV per atom
# Crystal system: cubic
# Uncorrected energy: -0.578 eV/atom
# Theoretical density: 8.990 g cm⁻³
# Size of the total moment: 0.00 μB per formula unit
data_NaZnHg4
_symmetry_space_group_name_H-M 'P 1'
_symmetry_Int_Tables_number 1
_symmetry_space_group_name_Hall 'P 1'
_cell_length_a 6.151
_cell_length_b 6.151
_cell_length_c 6.151
_cell_angle_alpha 60.00
_cell_angle_beta 60.00
_cell_angle_gamma 60.00
loop_
_atom_site_label
_atom_site_type_symbol
_atom_site_fract_x
_atom_site_fract_y
_atom_site_fract_z
_atom_site_occupancy
Hg1 Hg 0.625 0.625 0.125 1
Na1 Na 0.000 0.000 0.000 1
Hg2 Hg 0.625 0.125 0.625 1
Zn1 Zn 0.250 0.250 0.250 1
Hg3 Hg 0.625 0.625 0.625 1
Hg4 Hg 0.125 0.625 0.625 1

# HfCoHg2Mo (PBE, relaxed)
# Energy of formation from the pure elements: 1.753 eV per atom
# Space group: P4/mmm
# Crystal system: tetragonal
# Uncorrected energy: -3.945 eV/atom
# Theoretical density: 8.895 g cm⁻³
# Size of the total moment: 2.29 μB per formula unit
data_HfCoHg2Mo
_symmetry_space_group_name_H-M 'P 1'
_symmetry_Int_Tables_number 1
_symmetry_space_group_name_Hall 'P 1'
_cell_length_a 5.389
_cell_length_b 4.721
_cell_length_c 5.389
_cell_angle_alpha 90.00
_cell_angle_beta 90.00
_cell_angle_gamma 90.00
loop_
_atom_site_label
_atom_site_type_symbol
_atom_site_fract_x
_atom_site_fract_y
_atom_site_fract_z
_atom_site_occupancy
Co1 Co 0.500 0.500 0.500 1
Hg1 Hg 0.500 0.000 0.000 1
Hg2 Hg 0.000 0.000 0.500 1
Mo1 Mo 0.000 0.500 0.000 1
Hf1 Hf 0.000 0.000 0.000 1

# HoHgPt2 (PBE, relaxed)
# Energy of formation from the pure elements: -0.762 eV per atom
# Space group: P4/mmm
# Energy relative to the lowest polymorph listed for this composition: 0 meV per atom
# Crystal system: tetragonal
# Uncorrected energy: -5.003 eV/atom
# Theoretical density: 16.055 g cm⁻³
# Size of the total moment: 0.00 μB per formula unit
data_HoHgPt2
_symmetry_space_group_name_H-M 'P 1'
_symmetry_Int_Tables_number 1
_symmetry_space_group_name_Hall 'P 1'
_cell_length_a 3.614
_cell_length_b 3.614
_cell_length_c 5.985
_cell_angle_alpha 90.00
_cell_angle_beta 90.00
_cell_angle_gamma 90.00
loop_
_atom_site_label
_atom_site_type_symbol
_atom_site_fract_x
_atom_site_fract_y
_atom_site_fract_z
_atom_site_occupancy
Pt1 Pt 0.000 0.000 0.253 1
Hg1 Hg 0.500 0.500 0.500 1
Pt2 Pt 0.000 0.000 0.747 1
Ho1 Ho 0.500 0.500 0.000 1

# GdErMgGa (PBE, relaxed)
# Energy of formation from the pure elements: -0.335 eV per atom
# Space group: F-43m
# Crystal system: cubic
# Uncorrected energy: -6.151 eV/atom
# Theoretical density: 7.107 g cm⁻³
# Size of the total moment: 7.30 μB per formula unit
data_GdErMgGa
_symmetry_space_group_name_H-M 'P 1'
_symmetry_Int_Tables_number 1
_symmetry_space_group_name_Hall 'P 1'
_cell_length_a 5.171
_cell_length_b 5.171
_cell_length_c 5.171
_cell_angle_alpha 60.00
_cell_angle_beta 60.00
_cell_angle_gamma 60.00
loop_
_atom_site_label
_atom_site_type_symbol
_atom_site_fract_x
_atom_site_fract_y
_atom_site_fract_z
_atom_site_occupancy
Er1 Er 0.000 0.000 0.000 1
Gd1 Gd 0.500 0.500 0.500 1
Mg1 Mg 0.750 0.750 0.750 1
Ga1 Ga 0.250 0.250 0.250 1

Question: Among the records above, which one has the lowest energy of formation from the pure elements?
Answer: HoHgPt2